Record 1
VASP calculation (PBE-GGA) on an optimized crystal structure of CsGaAu2. Values from VASP.

Structure (Quantum ESPRESSO input):
```
&SYSTEM
  ibrav = 0, nat = 4, ntyp = 3
/
ATOMIC_SPECIES
Cs 132.91 Cs.upf
Ga 69.72 Ga.upf
Au 196.97 Au.upf
CELL_PARAMETERS angstrom
2.356 1.360 6.494
-2.356 1.360 6.494
0.000 -2.721 6.494
ATOMIC_POSITIONS angstrom
Cs 0.000 0.000 0.000
Ga 0.000 0.000 3.583
Au 0.000 0.000 9.910
Au 0.000 0.000 15.886
```

Properties
**Magnetization**: 0.000 μB/cell
**Uncorrected energy**: -11.42 eV/cell
**Formation energy from the elements**: -246 meV/atom

***

Record 2
VASP calculation (PBE-GGA) on an optimized crystal structure of CsGaAu3. Values from VASP.

Structure (Quantum ESPRESSO input):
```
&SYSTEM
  ibrav = 0, nat = 5, ntyp = 3
/
ATOMIC_SPECIES
Cs 132.91 Cs.upf
Ga 69.72 Ga.upf
Au 196.97 Au.upf
CELL_PARAMETERS angstrom
6.221 0.000 0.000
0.000 6.221 0.000
0.000 0.000 6.221
ATOMIC_POSITIONS angstrom
Cs 0.000 0.000 0.000
Ga 3.111 3.111 3.111
Au 0.000 0.000 3.111
Au 0.000 3.111 0.000
Au 3.111 0.000 0.000
```

Properties
**Magnetization**: 0.000 μB/cell
**Uncorrected energy**: -8.23 eV/cell
**Formation energy from the elements**: 1097 meV/atom

***

Record 3
VASP calculation (PBE-GGA) on an optimized crystal structure of CsGa4Au5. Values from VASP.

Structure (Quantum ESPRESSO input):
```
&SYSTEM
  ibrav = 0, nat = 20, ntyp = 3
/
ATOMIC_SPECIES
Cs 132.91 Cs.upf
Ga 69.72 Ga.upf
Au 196.97 Au.upf
CELL_PARAMETERS angstrom
7.887 0.000 0.000
0.000 7.889 0.000
0.000 0.000 9.155
ATOMIC_POSITIONS angstrom
Cs 1.972 1.972 9.152
Cs 5.915 5.916 0.003
Ga 0.466 1.972 3.422
Ga 1.972 0.464 5.727
Ga 1.972 3.480 5.727
Ga 3.477 1.972 3.422
Ga 4.409 5.916 5.733
Ga 5.915 4.408 3.428
Ga 5.915 7.424 3.428
Ga 7.421 5.916 5.733
Au 0.607 4.552 3.259
Au 0.607 7.281 3.259
Au 1.972 5.916 6.709
Au 3.336 4.552 3.259
Au 3.336 7.281 3.259
Au 4.550 0.608 5.896
Au 4.550 3.336 5.896
Au 5.915 1.972 2.446
Au 7.280 0.608 5.896
Au 7.280 3.336 5.896
```

Properties
**Magnetization**: 0.000 μB/cell
**Uncorrected energy**: -60.53 eV/cell
**Formation energy from the elements**: -92 meV/atom

***

Record 4
VASP calculation (PBE-GGA) on an optimized crystal structure of Cs2Ga2HAu2. Values from VASP.

Structure (Quantum ESPRESSO input):
```
&SYSTEM
  ibrav = 0, nat = 7, ntyp = 4
/
ATOMIC_SPECIES
Cs 132.91 Cs.upf
Ga 69.72 Ga.upf
H 1.01 H.upf
Au 196.97 Au.upf
CELL_PARAMETERS angstrom
6.127 -2.440 0.000
6.127 2.440 0.000
-5.162 0.000 7.222
ATOMIC_POSITIONS angstrom
Cs -0.960 0.000 2.317
Cs 8.052 0.000 4.904
Ga -0.727 0.000 6.304
Ga 7.819 0.000 0.917
H 6.127 0.000 0.000
Au 2.470 0.000 0.955
Au 4.623 0.000 6.267
```

Properties
**Magnetization**: 0.000 μB/cell
**Uncorrected energy**: -19.15 eV/cell

***

Record 5
VASP calculation (PBE-GGA) on an optimized crystal structure of Cs2GaHgAu. Values from VASP.

Structure (Quantum ESPRESSO input):
```
&SYSTEM
  ibrav = 0, nat = 5, ntyp = 4
/
ATOMIC_SPECIES
Cs 132.91 Cs.upf
Ga 69.72 Ga.upf
Hg 200.59 Hg.upf
Au 196.97 Au.upf
CELL_PARAMETERS angstrom
7.094 0.000 0.000
0.000 7.094 0.000
0.000 0.000 4.898
ATOMIC_POSITIONS angstrom
Cs 0.000 3.547 0.000
Cs 3.547 0.000 0.000
Ga 0.000 0.000 2.449
Hg 3.547 3.547 2.449
Au 0.000 0.000 0.000
```

Properties
**Magnetization**: 0.001 μB/cell
**Uncorrected energy**: -9.07 eV/cell
**Formation energy from the elements**: -151 meV/atom

***

Record 6
VASP calculation (PBE-GGA) on an optimized crystal structure of Cs2GaHgAu4. Values from VASP.

Structure (Quantum ESPRESSO input):
```
&SYSTEM
  ibrav = 0, nat = 16, ntyp = 4
/
ATOMIC_SPECIES
Cs 132.91 Cs.upf
Ga 69.72 Ga.upf
Hg 200.59 Hg.upf
Au 196.97 Au.upf
CELL_PARAMETERS angstrom
0.000 6.839 12.117
3.240 0.000 12.117
3.240 6.839 0.000
ATOMIC_POSITIONS angstrom
Cs 2.430 5.129 1.593
Cs 4.051 8.549 7.651
Cs 2.430 5.129 16.582
Cs 4.051 8.549 22.641
Ga 2.430 5.129 9.087
Ga 4.051 8.549 15.146
Hg 0.810 1.710 3.029
Hg 5.671 11.968 21.204
Au 3.684 3.874 7.263
Au 3.684 6.385 10.911
Au 5.304 7.293 16.970
Au 5.304 9.804 13.322
Au 1.177 3.874 10.911
Au 1.177 6.385 7.263
Au 2.797 7.293 13.322
Au 2.797 9.804 16.970
```

Properties
**Magnetization**: 0.000 μB/cell
**Uncorrected energy**: -39.14 eV/cell
**Formation energy from the elements**: -178 meV/atom

***

Which value of uncorrected energy does entry 3 give? -60.53 eV/cell